Entry 1:
Material: NdCu6P4
Method: DFT, PBE-GGA
State: relaxed

Unit cell a=6.1738 b=6.1738 c=6.1738 alpha=117.60 beta=117.60 gamma=94.21
With the nearest neighbours (Å) after each atom.
Positions (direct):
Nd 0.0000 0.0000 0.0000  4 P 2.84
Cu 0.0000 0.5000 0.5000  4 P 2.58, 4 Cu 2.69
Cu 0.2247 0.2247 0.7099  4 P 2.28-2.39
Cu 0.4852 0.7753 0.0000  4 P 2.28-2.39
Cu 0.5000 0.0000 0.5000  4 P 2.58, 4 Cu 2.69
Cu 0.5148 0.5148 0.2901  4 P 2.28-2.39
Cu 0.7753 0.4852 0.0000  4 P 2.28-2.39
P 0.1404 0.5729 0.0000  4 Cu 2.28-2.39
P 0.4271 0.4271 0.5675  4 Cu 2.28-2.39
P 0.5729 0.1404 0.0000  4 Cu 2.28-2.39
P 0.8596 0.8596 0.4325  4 Cu 2.28-2.39

## Properties
- Energy of formation: -0.2418 eV/atom

---

Entry 2:
Material: La2YAs2I2
Method: DFT, PBE-GGA
State: relaxed

Unit cell a=9.1672 b=9.1672 c=9.1672 alpha=145.51 beta=145.51 gamma=49.57
With the nearest neighbours (Å) after each atom.
Positions (direct):
La 0.1003 0.1003 0.0000  4 As 3.19, 1 La 3.34, 1 I 3.46
La 0.8997 0.8997 0.0000  4 As 3.19, 1 La 3.34, 1 I 3.46
Y 0.5000 0.5000 0.0000  4 As 2.72
As 0.0000 0.5000 0.5000  2 Y 2.72
As 0.5000 0.0000 0.5000  2 Y 2.72
I 0.3081 0.3081 0.0000  1 Y 3.19, 1 La 3.46
I 0.6919 0.6919 0.0000  1 Y 3.19, 1 La 3.46

## Properties
- ΔE_f (raw): -1.25 eV/atom

---

Entry 3:
Material: Hf2ScRe
Method: DFT, PBE-GGA
State: relaxed

Unit cell a=6.2381 b=6.2381 c=6.2381 alpha=102.49 beta=102.49 gamma=124.57
With the nearest neighbours (Å) after each atom.
Positions (direct):
Hf 0.0739 0.6250 0.9489  2 Re 2.60
Hf 0.3750 0.3239 0.4489  2 Re 2.60
Hf 0.6761 0.1250 0.0511  2 Re 2.60
Hf 0.8750 0.9261 0.5511  2 Re 2.60
Sc 0.2500 0.7500 0.5000  2 Re 2.90, 4 Hf 3.14
Sc 0.5000 0.5000 0.0000  2 Re 2.90, 4 Hf 3.14
Re 0.0000 0.0000 0.0000  4 Hf 2.60, 2 Sc 2.90
Re 0.7500 0.2500 0.5000  4 Hf 2.60, 2 Sc 2.90

## Properties
- Energy of formation: 0.3775 eV/atom
- Energy above the lowest structure with this stoichiometry: 484 meV/atom

---

Entry 4:
Material: TbCeH4
Method: DFT, PBE-GGA
State: relaxed

Unit cell a=3.7555 b=3.7555 c=5.3903 alpha=90.00 beta=90.00 gamma=90.00
With the nearest neighbours (Å) after each atom.
Positions (direct):
Tb 0.0000 0.0000 0.0000  8 H 2.27
Ce 0.5000 0.5000 0.5000  8 H 2.35
H 0.0000 0.5000 0.2381  2 Tb 2.27, 2 Ce 2.35
H 0.0000 0.5000 0.7619  2 Tb 2.27, 2 Ce 2.35
H 0.5000 0.0000 0.2381  2 Tb 2.27, 2 Ce 2.35
H 0.5000 0.0000 0.7619  2 Tb 2.27, 2 Ce 2.35

---

| no. | total energy (eV/atom) |
| --- | --- |
| 1 | -4.877 |
| 2 | -5.351 |
| 3 | -9.294 |
| 4 | -4.614 |